Record 1
First-principles (PBE) data for a geometry-optimized SrDyCdAu structure, as listed in the Alexandria database. Values from VASP.

Calculated values
ΔE_f	-0.4609	eV per atom
uncorrected energy	-0.2264	Ry per atom

The structure in Quantum ESPRESSO input format:
```
&SYSTEM
  ibrav = 0, nat = 4, ntyp = 4
/
ATOMIC_SPECIES
Sr 87.62 Sr.upf
Dy 162.50 Dy.upf
Cd 112.41 Cd.upf
Au 196.97 Au.upf
CELL_PARAMETERS angstrom
0.000 3.785 3.785
3.785 0.000 3.785
3.785 3.785 0.000
ATOMIC_POSITIONS crystal
Sr 0.000 0.000 0.000
Dy 0.500 0.500 0.500
Cd 0.250 0.250 0.250
Au 0.750 0.750 0.750
```



Record 2
First-principles (PBE) data for a geometry-optimized Tb6PmZn2 structure, as listed in the Alexandria database. Values from VASP.

Calculated values
ΔE_f	0.2578	eV per atom
relative energy among the computed polymorphs	398.7	meV/atom
uncorrected energy	-0.2675	Ry per atom

The structure in Quantum ESPRESSO input format:
```
&SYSTEM
  ibrav = 0, nat = 9, ntyp = 3
/
ATOMIC_SPECIES
Tb 158.93 Tb.upf
Pm 145.00 Pm.upf
Zn 65.41 Zn.upf
CELL_PARAMETERS angstrom
-2.396 2.396 12.844
2.396 -2.396 12.844
2.396 2.396 -12.844
ATOMIC_POSITIONS crystal
Tb 0.109 0.609 0.500
Tb 0.250 0.750 0.500
Tb 0.391 0.891 0.500
Tb 0.609 0.109 0.500
Tb 0.750 0.250 0.500
Tb 0.891 0.391 0.500
Pm 0.000 0.000 0.000
Zn 0.322 0.322 0.000
Zn 0.678 0.678 0.000
```



Record 3
First-principles (PBE) data for a geometry-optimized Ho2Tm2Sc structure, as listed in the Alexandria database. Values from VASP.

Calculated values
ΔE_f	0.0403	eV per atom
relative energy among the computed polymorphs	0.0	meV/atom
uncorrected energy	-0.3562	Ry per atom

The structure in Quantum ESPRESSO input format:
```
&SYSTEM
  ibrav = 0, nat = 10, ntyp = 3
/
ATOMIC_SPECIES
Ho 164.93 Ho.upf
Tm 168.93 Tm.upf
Sc 44.96 Sc.upf
CELL_PARAMETERS angstrom
5.459 -2.450 0.000
5.459 2.450 0.000
-0.002 0.000 10.921
ATOMIC_POSITIONS crystal
Ho 0.050 0.050 0.349
Ho 0.152 0.152 0.050
Ho 0.848 0.848 0.950
Ho 0.950 0.950 0.651
Tm 0.349 0.349 0.450
Tm 0.451 0.451 0.152
Tm 0.549 0.549 0.848
Tm 0.651 0.651 0.550
Sc 0.249 0.249 0.750
Sc 0.751 0.751 0.250
```



Record 4
First-principles (PBE) data for a geometry-optimized ZnCo2Tc structure, as listed in the Alexandria database. Values from VASP.

Calculated values
ΔE_f	0.1557	eV per atom
uncorrected energy	-0.4636	Ry per atom

The structure in Quantum ESPRESSO input format:
```
&SYSTEM
  ibrav = 0, nat = 4, ntyp = 3
/
ATOMIC_SPECIES
Zn 65.41 Zn.upf
Co 58.93 Co.upf
Tc 98.00 Tc.upf
CELL_PARAMETERS angstrom
-1.344 2.159 4.336
1.344 -2.159 4.336
1.344 2.159 -4.336
ATOMIC_POSITIONS crystal
Zn 0.000 0.000 0.000
Co 0.249 0.749 0.500
Co 0.478 0.478 0.000
Tc 0.728 0.228 0.500
```



Record 5
First-principles (PBE) data for a geometry-optimized VIn3Ru structure, as listed in the Alexandria database. Values from VASP.

Calculated values
ΔE_f	1.2539	eV per atom
relative energy among the computed polymorphs	616.6	meV/atom
uncorrected energy	-0.2990	Ry per atom

The structure in Quantum ESPRESSO input format:
```
&SYSTEM
  ibrav = 0, nat = 5, ntyp = 3
/
ATOMIC_SPECIES
V 50.94 V.upf
In 114.82 In.upf
Ru 101.07 Ru.upf
CELL_PARAMETERS angstrom
5.063 0.000 0.000
0.000 5.063 0.000
0.000 0.000 5.063
ATOMIC_POSITIONS crystal
V 0.000 0.000 0.000
In 0.000 0.000 0.500
In 0.000 0.500 0.000
In 0.500 0.000 0.000
Ru 0.500 0.500 0.500
```



Record 6
First-principles (PBE) data for a geometry-optimized SbS8Cl3 structure, as listed in the Alexandria database. Values from VASP.

Calculated values
uncorrected energy	-0.2829	Ry per atom
raw formation energy	-292	meV per atom

The structure in Quantum ESPRESSO input format:
```
&SYSTEM
  ibrav = 0, nat = 24, ntyp = 3
/
ATOMIC_SPECIES
Sb 121.76 Sb.upf
S 32.06 S.upf
Cl 35.45 Cl.upf
CELL_PARAMETERS angstrom
8.795 0.000 0.000
-3.173 9.113 0.000
-3.570 -2.967 10.508
ATOMIC_POSITIONS crystal
Sb 0.194 0.440 0.143
Sb 0.806 0.560 0.857
S 0.054 0.279 0.477
S 0.121 0.163 0.855
S 0.128 0.985 0.176
S 0.166 0.743 0.672
S 0.252 0.297 0.412
S 0.264 0.087 0.368
S 0.291 0.057 0.906
S 0.329 0.971 0.748
S 0.671 0.029 0.252
S 0.709 0.943 0.094
S 0.736 0.913 0.632
S 0.748 0.703 0.588
S 0.834 0.257 0.328
S 0.872 0.015 0.824
S 0.879 0.837 0.145
S 0.946 0.721 0.523
Cl 0.217 0.589 0.992
Cl 0.249 0.648 0.312
Cl 0.486 0.458 0.204
Cl 0.514 0.542 0.796
Cl 0.751 0.352 0.688
Cl 0.783 0.411 0.008
```



Which of these has the highest uncorrected energy?
SrDyCdAu



Look up the uncorrected energy of the sixth one.
-0.2829 Ry per atom